Compound: CsVF3
Source: Alexandria via LeMat-Bulk
Functional: PBE+U
Structure: relaxed

Output
D(E_F)   0.000 states/eV/f.u.
ρ   3.97 g/cm³
Space-group type   R-3, No. 148
Raw total energy   -54.42 eV for the cell shown

a b c (Å): 7.372 7.372 7.372
angles (deg): 47.81 47.81 47.81
Each line ends with the local moment (μB).
Sites, in units of the cell vectors:
Cs 0.368 0.368 0.368  0.00
Cs 0.632 0.632 0.632  0.00
V 0.165 0.165 0.165  2.76
V 0.835 0.835 0.835  2.76
F 0.445 0.036 0.839  0.01
F 0.036 0.839 0.445  0.01
F 0.161 0.555 0.964  0.01
F 0.964 0.161 0.555  0.01
F 0.555 0.964 0.161  0.01
F 0.839 0.445 0.036  0.01